No. 1
Entry from the Alexandria database: crystalline PaTl2TeO6 at its relaxed geometry (PBE).

Calculated values
total DFT energy (no corrections): -6.48 eV/atom
spin magnetization: 0.000 μB per formula unit
DOS at the Fermi energy: 0.180 states/eV per atom

a b c (Å): 4.4103 6.0450 6.0450
angles (deg): 90.00 90.00 90.00
Fractional coordinates of all 10 atoms:
Tl1 0.1385 0.5000 0.0000
Tl2 0.1385 0.0000 0.5000
O1 0.6440 0.2440 0.7560
O2 0.1440 0.5000 0.5000
O3 0.6440 0.7560 0.7560
O4 0.6440 0.2440 0.2440
O5 0.6440 0.7560 0.2440
O6 0.1845 0.0000 0.0000
Pa1 0.6446 0.5000 0.5000
Te1 0.6207 0.0000 0.0000



No. 2
Entry from the Alexandria database: crystalline NaSmI2 at its relaxed geometry (PBE).

Calculated values
total DFT energy (no corrections): -3.19 eV/atom
spin magnetization: 0.000 μB per formula unit
DOS at the Fermi energy: 0.666 states/eV per atom
ΔE to the lowest computed polymorph: 56 meV/atom

a b c (Å): 4.0755 4.0755 11.2571
angles (deg): 79.57 79.57 60.00
Fractional coordinates of all 4 atoms:
Na1 0.0000 0.0000 0.0000
I1 0.1024 0.1024 0.6928
I2 0.8976 0.8976 0.3072
Sm1 0.5000 0.5000 0.5000



No. 3
Entry from the Alexandria database: crystalline La6Mg2Ag at its relaxed geometry (PBE).

Calculated values
total DFT energy (no corrections): -4.01 eV/atom
ΔE_f: -0.06 eV per atom
spin magnetization: 0.000 μB per formula unit
DOS at the Fermi energy: 1.117 states/eV per atom
ΔE to the lowest computed polymorph: 0 meV/atom

a b c (Å): 3.7362 8.7575 9.3621
angles (deg): 80.16 78.49 77.68
Fractional coordinates of all 9 atoms:
La1 0.9539 0.9026 0.1895
La2 0.6982 0.7054 0.8982
La3 0.3214 0.8179 0.5392
La4 0.3018 0.2946 0.1018
La5 0.0461 0.0974 0.8105
La6 0.6786 0.1821 0.4608
Mg1 0.5838 0.5622 0.2702
Mg2 0.4162 0.4378 0.7298
Ag1 0.0000 0.5000 0.5000



No. 4
Entry from the Alexandria database: crystalline Cs6HBr2Cl3 at its relaxed geometry (PBE).

Calculated values
total DFT energy (no corrections): -3.04 eV/atom
spin magnetization: 0.054 μB per formula unit
DOS at the Fermi energy: 0.000 states/eV per atom

a b c (Å): 5.0321 10.0956 11.2503
angles (deg): 102.92 102.92 90.00
Fractional coordinates of all 12 atoms:
Cl1 0.1674 0.8357 0.3348
Cl2 0.8326 0.1643 0.6652
Cl3 0.5000 0.5000 0.0000
H1 0.5000 0.0000 0.0000
Cs1 0.3362 0.4096 0.6724
Cs2 0.6616 0.0721 0.3232
Cs3 0.9970 0.2376 0.9940
Cs4 0.0030 0.7624 0.0060
Cs5 0.6638 0.5904 0.3276
Cs6 0.3384 0.9279 0.6768
Br1 0.8346 0.6692 0.6691
Br2 0.1654 0.3308 0.3309